The following is a DFT calculation (GGA-PBE) of a relaxed structure of NiBS3.

Calculated values
Space group: C2/m (12)
DOS at the Fermi energy: 0.49 states/eV per atom
Size of the total moment: 0.00 μB/f.u.
Offset from the most stable computed form: 0.00 eV/f.u.

Cell: 3.038 8.385 8.682 Å, 71.90 100.07 90.00°
Atoms (fractional coordinates):
1 Ni 0.875 0.220 0.751
2 Ni 0.125 0.780 0.249
3 B 0.441 0.866 0.882
4 S 0.799 0.477 0.599
5 S 0.353 0.052 0.707
6 B 0.559 0.134 0.118
7 S 0.201 0.523 0.401
8 S 0.647 0.948 0.293
9 S 0.991 0.752 0.982
10 S 0.009 0.248 0.018

The following is a DFT calculation (GGA-PBE) of a relaxed structure of NiBS.

Calculated values
Space group: Amm2 (38)
DOS at the Fermi energy: 0.47 states/eV per atom
Size of the total moment: 0.00 μB/f.u.
Offset from the most stable computed form: 0.44 eV/f.u.

Cell: 2.782 2.990 8.730 Å, 90.00 90.00 90.00°
Atoms (fractional coordinates):
1 Ni 0.500 0.000 0.398
2 Ni 0.500 0.500 0.898
3 S 0.000 0.500 0.095
4 B 0.000 0.500 0.725
5 S 0.000 0.000 0.595
6 B 0.000 0.000 0.225

The following is a DFT calculation (GGA-PBE) of a relaxed structure of NiBS.

Calculated values
Space group: Amm2 (38)
DOS at the Fermi energy: 0.70 states/eV per atom
Size of the total moment: 0.00 μB/f.u.
Offset from the most stable computed form: 0.43 eV/f.u.

Cell: 2.900 3.196 7.889 Å, 90.00 90.00 90.00°
Atoms (fractional coordinates):
1 B 0.000 0.500 0.693
2 S 0.500 0.000 0.045
3 S 0.500 0.500 0.545
4 Ni 0.500 0.500 0.270
5 Ni 0.500 0.000 0.770
6 B 0.000 0.000 0.193

The following is a DFT calculation (GGA-PBE) of a relaxed structure of NiBS.

Calculated values
Space group: Cm (8)
DOS at the Fermi energy: 0.45 states/eV per atom
Size of the total moment: 0.00 μB/f.u.
Offset from the most stable computed form: 0.68 eV/f.u.

Cell: 4.932 2.916 5.052 Å, 90.00 109.67 90.00°
Atoms (fractional coordinates):
1 Ni 0.380 0.000 0.871
2 S 0.904 0.500 0.209
3 S 0.904 0.000 0.709
4 B 0.699 0.000 0.309
5 B 0.699 0.500 0.809
6 Ni 0.380 0.500 0.371

The following is a DFT calculation (GGA-PBE) of a relaxed structure of NiBS2.

Calculated values
Space group: R-3m (166)
DOS at the Fermi energy: 0.67 states/eV per atom
Size of the total moment: 0.00 μB/f.u.

Cell: 6.102 6.102 6.102 Å, 33.63 33.63 33.63°
Atoms (fractional coordinates):
1 Ni 0.500 0.500 0.500
2 B 0.000 0.000 0.000
3 S 0.098 0.098 0.098
4 S 0.902 0.902 0.902

The following is a DFT calculation (GGA-PBE) of a relaxed structure of NiBS.

Calculated values
Space group: P3m1 (156)
DOS at the Fermi energy: 0.45 states/eV per atom
Size of the total moment: 0.00 μB/f.u.
Offset from the most stable computed form: 0.36 eV/f.u.

Cell: 2.944 2.944 4.563 Å, 90.00 90.00 120.00°
Atoms (fractional coordinates):
1 B 0.000 0.000 0.692
2 Ni 0.667 0.333 0.392
3 S 0.667 0.333 0.899

The following is a DFT calculation (GGA-PBE) of a relaxed structure of NiBS.

Calculated values
Space group: Cmc2_1 (36)
DOS at the Fermi energy: 0.32 states/eV per atom
Size of the total moment: 0.00 μB/f.u.
Offset from the most stable computed form: 0.00 eV/f.u.

Cell: 3.215 3.348 7.969 Å, 90.00 101.64 90.00°
Atoms (fractional coordinates):
1 B 0.971 0.868 0.941
2 S 0.857 0.729 0.714
3 B 0.029 0.368 0.059
4 Ni 0.439 0.444 0.878
5 Ni 0.561 0.944 0.122
6 S 0.143 0.229 0.286

The following is a DFT calculation (GGA-PBE) of a relaxed structure of NiBS3.

Calculated values
Space group: Pm-3m (221)
DOS at the Fermi energy: 1.23 states/eV per atom
Size of the total moment: 0.00 μB/f.u.
Offset from the most stable computed form: 7.21 eV/f.u.

Cell: 4.417 4.417 4.417 Å, 90.00 90.00 90.00°
Atoms (fractional coordinates):
1 S 0.000 0.000 0.500
2 S 0.500 0.000 0.000
3 Ni 0.000 0.000 0.000
4 S 0.000 0.500 0.000
5 B 0.500 0.500 0.500

The following is a DFT calculation (GGA-PBE) of a relaxed structure of NiBS3.

Calculated values
Space group: Pm-3m (221)
DOS at the Fermi energy: 0.94 states/eV per atom
Size of the total moment: 1.22 μB/f.u.
Offset from the most stable computed form: 5.39 eV/f.u.

Cell: 4.090 4.090 4.090 Å, 90.00 90.00 90.00°
Atoms (fractional coordinates):
1 B 0.000 0.000 0.000
2 S 0.000 0.000 0.500
3 Ni 0.500 0.500 0.500
4 S 0.000 0.500 0.000
5 S 0.500 0.000 0.000

The following is a DFT calculation (GGA-PBE) of a relaxed structure of NiBS.

Calculated values
Space group: Pmm2 (25)
DOS at the Fermi energy: 0.59 states/eV per atom
Size of the total moment: 0.00 μB/f.u.
Offset from the most stable computed form: 0.57 eV/f.u.

Cell: 2.874 3.067 3.812 Å, 90.00 90.00 90.00°
Atoms (fractional coordinates):
1 S 0.500 0.000 0.918
2 Ni 0.500 0.500 0.385
3 B 0.000 0.000 0.607

The following is a DFT calculation (GGA-PBE) of a relaxed structure of NiBS.

Calculated values
Space group: P1 (1)
DOS at the Fermi energy: 0.40 states/eV per atom
Size of the total moment: 0.00 μB/f.u.
Offset from the most stable computed form: 0.50 eV/f.u.

Cell: 2.972 3.418 4.271 Å, 99.20 89.97 115.98°
Atoms (fractional coordinates):
1 Ni 0.663 0.487 0.403
2 S 0.573 0.308 0.885
3 B 0.984 0.131 0.621

The following is a DFT calculation (GGA-PBE) of a relaxed structure of Ni2BS.

Calculated values
Space group: Fm-3m (225)
DOS at the Fermi energy: 0.83 states/eV per atom
Size of the total moment: 0.00 μB/f.u.
Offset from the most stable computed form: 1.26 eV/f.u.

Cell: 3.877 3.877 3.877 Å, 60.00 60.00 60.00°
Atoms (fractional coordinates):
1 Ni 0.250 0.250 0.250
2 B 0.000 0.000 0.000
3 Ni 0.750 0.750 0.750
4 S 0.500 0.500 0.500

The following is a DFT calculation (GGA-PBE) of a relaxed structure of Ni2B2S.

Calculated values
Space group: I4/mmm (139)
DOS at the Fermi energy: 0.21 states/eV per atom
Size of the total moment: 0.00 μB/f.u.
Offset from the most stable computed form: 0.00 eV/f.u.

Cell: 3.613 3.613 4.640 Å, 67.09 67.09 90.00°
Atoms (fractional coordinates):
1 Ni 0.250 0.750 0.500
2 S 0.000 0.000 0.000
3 B 0.608 0.608 0.784
4 Ni 0.750 0.250 0.500
5 B 0.392 0.392 0.216

The following is a DFT calculation (GGA-PBE) of a relaxed structure of Ni2BS.

Calculated values
Space group: I-42d (122)
DOS at the Fermi energy: 0.66 states/eV per atom
Size of the total moment: 0.00 μB/f.u.
Offset from the most stable computed form: 0.00 eV/f.u.

Cell: 4.427 4.427 6.199 Å, 69.08 69.08 90.00°
Atoms (fractional coordinates):
1 Ni 0.375 0.429 0.750
2 B 0.250 0.750 0.500
3 Ni 0.875 0.821 0.750
4 Ni 0.571 0.125 0.250
5 Ni 0.179 0.625 0.250
6 S 0.750 0.250 0.500
7 B 0.500 0.500 0.000
8 S 0.000 0.000 0.000

The following is a DFT calculation (GGA-PBE) of a relaxed structure of NiB2S.

Calculated values
Space group: I-42d (122)
DOS at the Fermi energy: 0.06 states/eV per atom
Size of the total moment: 0.00 μB/f.u.

Cell: 4.720 4.720 5.200 Å, 63.01 63.01 90.00°
Atoms (fractional coordinates):
1 S 0.500 0.500 0.000
2 B 0.139 0.625 0.250
3 S 0.250 0.750 0.500
4 Ni 0.000 0.000 0.000
5 Ni 0.750 0.250 0.500
6 B 0.375 0.389 0.750
7 B 0.875 0.861 0.750
8 B 0.611 0.125 0.250

The following is a DFT calculation (GGA-PBE) of a relaxed structure of Zn2NiBS.

Calculated values
Space group: P4/mmm (123)
DOS at the Fermi energy: 0.66 states/eV per atom
Size of the total moment: 0.77 μB/f.u.

Cell: 3.896 5.147 3.896 Å, 90.00 90.00 90.00°
Atoms (fractional coordinates):
1 Zn 0.500 0.000 0.000
2 S 0.000 0.500 0.000
3 Ni 0.500 0.500 0.500
4 B 0.000 0.000 0.000
5 Zn 0.000 0.000 0.500

The following is a DFT calculation (GGA-PBE) of a relaxed structure of Ni12B5Sb.

Calculated values
Space group: Immm (71)
DOS at the Fermi energy: 0.54 states/eV per atom
Size of the total moment: 0.00 μB/f.u.

Cell: 6.158 6.158 6.158 Å, 102.86 113.08 112.67°
Atoms (fractional coordinates):
1 B 0.500 0.885 0.385
2 Ni 0.816 0.600 0.784
3 B 0.354 0.354 0.000
4 Ni 0.539 0.821 0.718
5 Sb 0.000 0.500 0.500
6 Ni 0.319 0.320 0.640
7 Ni 0.816 0.032 0.216
8 Ni 0.681 0.680 0.360
9 B 0.500 0.115 0.615
10 Ni 0.897 0.179 0.718
11 Ni 0.184 0.400 0.216
12 B 0.646 0.646 0.000
13 Ni 0.103 0.821 0.282
14 Ni 0.184 0.968 0.784
15 B 0.000 0.000 0.000
16 Ni 0.681 0.320 0.001
17 Ni 0.461 0.179 0.282
18 Ni 0.319 0.680 0.999

The following is a DFT calculation (GGA-PBE) of a relaxed structure of Ni2BSb.

Calculated values
Space group: I-42d (122)
DOS at the Fermi energy: 0.51 states/eV per atom
Size of the total moment: 0.00 μB/f.u.
Offset from the most stable computed form: 0.00 eV/f.u.

Cell: 4.513 4.513 6.747 Å, 70.46 70.46 90.00°
Atoms (fractional coordinates):
1 B 0.500 0.500 0.000
2 Ni 0.262 0.625 0.250
3 Sb 0.000 0.000 0.000
4 Ni 0.875 0.738 0.750
5 B 0.250 0.750 0.500
6 Sb 0.750 0.250 0.500
7 Ni 0.488 0.125 0.250
8 Ni 0.375 0.512 0.750

The following is a DFT calculation (GGA-PBE) of a relaxed structure of NiBSb2.

Calculated values
Space group: I-42d (122)
DOS at the Fermi energy: 0.58 states/eV per atom
Size of the total moment: 0.00 μB/f.u.

Cell: 5.670 5.670 6.515 Å, 64.21 64.21 90.00°
Atoms (fractional coordinates):
1 Sb 0.875 0.846 0.750
2 B 0.500 0.500 0.000
3 Ni 0.000 0.000 0.000
4 Sb 0.154 0.625 0.250
5 B 0.250 0.750 0.500
6 Ni 0.750 0.250 0.500
7 Sb 0.375 0.404 0.750
8 Sb 0.596 0.125 0.250

The following is a DFT calculation (GGA-PBE) of a relaxed structure of Ni4BSb.

Calculated values
Space group: C2/c (15)
DOS at the Fermi energy: 0.49 states/eV per atom
Size of the total moment: 0.00 μB/f.u.

Cell: 4.397 5.731 6.384 Å, 104.86 110.14 90.00°
Atoms (fractional coordinates):
1 Ni 0.087 0.155 0.400
2 B 0.500 0.000 0.500
3 B 0.000 0.500 0.500
4 Ni 0.705 0.443 0.186
5 Sb 0.878 0.750 0.000
6 Ni 0.913 0.845 0.600
7 Ni 0.480 0.943 0.186
8 Ni 0.295 0.557 0.814
9 Ni 0.312 0.655 0.400
10 Sb 0.122 0.250 0.000
11 Ni 0.520 0.057 0.814
12 Ni 0.688 0.345 0.600

The following is a DFT calculation (GGA-PBE) of a relaxed structure of Ni2BSb.

Calculated values
Space group: Fm-3m (225)
DOS at the Fermi energy: 0.49 states/eV per atom
Size of the total moment: 0.00 μB/f.u.
Offset from the most stable computed form: 1.38 eV/f.u.

Cell: 4.147 4.147 4.147 Å, 60.00 60.00 60.00°
Atoms (fractional coordinates):
1 Ni 0.250 0.250 0.250
2 B 0.000 0.000 0.000
3 Ni 0.750 0.750 0.750
4 Sb 0.500 0.500 0.500

The following is a DFT calculation (GGA-PBE) of a relaxed structure of Ni6B2Sb.

Calculated values
Space group: Immm (71)
DOS at the Fermi energy: 0.76 states/eV per atom
Size of the total moment: 0.00 μB/f.u.

Cell: 6.334 6.334 6.334 Å, 105.49 108.80 114.24°
Atoms (fractional coordinates):
1 Ni 0.313 0.636 0.323
2 Ni 0.884 0.697 0.188
3 B 0.634 0.000 0.634
4 Ni 0.687 0.364 0.677
5 Ni 0.775 0.764 0.539
6 Ni 0.491 0.303 0.188
7 Ni 0.775 0.236 0.011
8 Sb 0.000 0.000 0.000
9 Ni 0.687 0.010 0.323
10 Ni 0.116 0.303 0.812
11 B 0.500 0.383 0.883
12 Ni 0.509 0.697 0.812
13 B 0.500 0.617 0.117
14 Ni 0.225 0.236 0.461
15 Ni 0.313 0.990 0.677
16 Ni 0.225 0.764 0.989
17 B 0.366 0.000 0.366
18 Sb 0.000 0.500 0.500

The following is a DFT calculation (GGA-PBE) of a relaxed structure of ScNiBSb2.

Calculated values
Space group: P4/mmm (123)
DOS at the Fermi energy: 0.56 states/eV per atom
Size of the total moment: 0.00 μB/f.u.

Cell: 5.189 3.716 5.189 Å, 90.00 90.00 90.00°
Atoms (fractional coordinates):
1 Sc 0.500 0.500 0.500
2 Sb 0.000 0.000 0.500
3 Ni 0.000 0.000 0.000
4 Sb 0.500 0.000 0.000
5 B 0.000 0.500 0.000

The following is a DFT calculation (GGA-PBE) of a relaxed structure of NiBSb2Te.

Calculated values
Space group: P4/mmm (123)
DOS at the Fermi energy: 0.65 states/eV per atom
Size of the total moment: 0.00 μB/f.u.
Offset from the most stable computed form: 0.77 eV/f.u.

Cell: 4.884 4.884 5.222 Å, 90.00 90.00 90.00°
Atoms (fractional coordinates):
1 Sb 0.500 0.000 0.000
2 B 0.500 0.500 0.500
3 Ni 0.000 0.000 0.000
4 Te 0.000 0.000 0.500
5 Sb 0.000 0.500 0.000

The following is a DFT calculation (GGA-PBE) of a relaxed structure of NiBSb2Te.

Calculated values
Space group: P4/mmm (123)
DOS at the Fermi energy: 0.74 states/eV per atom
Size of the total moment: 0.00 μB/f.u.
Offset from the most stable computed form: 0.00 eV/f.u.

Cell: 4.724 4.724 4.764 Å, 90.00 90.00 90.00°
Atoms (fractional coordinates):
1 Te 0.000 0.000 0.500
2 Ni 0.500 0.500 0.500
3 Sb 0.000 0.500 0.000
4 Sb 0.500 0.000 0.000
5 B 0.000 0.000 0.000

Number 1: ΔE_f (raw) -0.156 eV/atom. Number 2: ΔE_f (raw) 0.105 eV/atom. Number 3: ΔE_f (raw) 0.103 eV/atom. Number 4: ΔE_f (raw) 0.186 eV/atom. Number 5: ΔE_f (raw) 0.044 eV/atom. Number 6: ΔE_f (raw) 0.079 eV/atom. Number 7: ΔE_f (raw) -0.041 eV/atom. Number 8: ΔE_f (raw) 1.285 eV/atom. Number 9: ΔE_f (raw) 0.922 eV/atom. Number 10: ΔE_f (raw) 0.150 eV/atom. Number 11: ΔE_f (raw) 0.125 eV/atom. Number 12: ΔE_f (raw) 0.449 eV/atom. Number 13: ΔE_f (raw) 0.315 eV/atom. Number 14: ΔE_f (raw) 0.134 eV/atom. Number 15: ΔE_f (raw) 0.368 eV/atom. Number 16: ΔE_f (raw) 0.641 eV/atom. Number 17: ΔE_f (raw) -0.207 eV/atom. Number 18: ΔE_f (raw) 0.227 eV/atom. Number 19: ΔE_f (raw) 0.342 eV/atom. Number 20: ΔE_f (raw) -0.103 eV/atom. Number 21: ΔE_f (raw) 0.572 eV/atom. Number 22: ΔE_f (raw) -0.135 eV/atom. Number 23: ΔE_f (raw) 0.151 eV/atom. Number 24: ΔE_f (raw) 1.127 eV/atom. Number 25: ΔE_f (raw) 0.973 eV/atom.